TlPd | PBE | relaxed

Calculated values
**Spin magnetization**: 0.000 μB per formula unit
**Formation energy**: -0.077 eV/atom
**DOS at the Fermi energy**: 1.77 states/eV per cell

Cell lengths 3.152, 5.457, 4.775 Å; angles 90.00, 90.00, 90.00 degrees
Space group Pmmn (No. 59, origin choice 2)
Inequivalent atoms, fractional coordinates:
1 Tl 0.250 0.250 0.143 x2
2 Pd 0.250 0.750 0.368 x2